# 1
A relaxed structure of YFe2SbO6, computed with PBE+U.

Summary:
- Total magnetic moment: 8.00 μB/f.u.
- Calculated volume: 245.2 Å³ per cell
- Crystal system: monoclinic
- Density of states at the Fermi level: 0.000 states/eV/atom

Cell lengths 5.5191, 5.5859, 9.6555 Å; angles 90.00, 124.53, 90.00 degrees
Fractional coordinates of all 20 atoms:
Y1 0.0000 0.0000 0.0000
Y2 0.0000 0.5000 0.5000
Fe1 0.2393 0.0296 0.7284
Fe2 0.2393 0.4704 0.2284
Fe3 0.7607 0.5296 0.7716
Fe4 0.7607 0.9704 0.2716
Sb1 0.5000 0.0000 0.5000
Sb2 0.5000 0.5000 0.0000
O1 0.1389 0.1549 0.4565
O2 0.1389 0.3451 0.9565
O3 0.2563 0.6964 0.4070
O4 0.2563 0.8036 0.9070
O5 0.3949 0.1055 0.2698
O6 0.3949 0.3945 0.7698
O7 0.6051 0.6055 0.2302
O8 0.6051 0.8945 0.7302
O9 0.7437 0.1964 0.0930
O10 0.7437 0.3036 0.5930
O11 0.8611 0.6549 0.0435
O12 0.8611 0.8451 0.5435

***

# 2
A relaxed structure of Y2FeSbO7, computed with PBE+U.

Summary:
- Total magnetic moment: 5.00 μB/f.u.
- Calculated volume: 276.7 Å³ per cell
- Crystal system: orthorhombic
- Density of states at the Fermi level: 0.000 states/eV/atom

Cell lengths 7.3099, 7.3099, 7.3099 Å; angles 120.35, 119.41, 90.21 degrees
Fractional coordinates of all 22 atoms:
Y1 0.0000 0.0000 0.0000
Y2 0.5000 0.0000 0.0000
Y3 0.5000 0.0000 0.5000
Y4 0.5000 0.5000 0.5000
Fe1 0.0000 0.0000 0.5000
Fe2 0.0000 0.5000 0.0000
Sb1 0.0000 0.5000 0.5000
Sb2 0.5000 0.5000 0.0000
O1 0.0901 0.4216 0.2600
O2 0.0901 0.8301 0.6684
O3 0.0897 0.8397 0.2500
O4 0.3299 0.5799 0.7500
O5 0.3383 0.1699 0.7600
O6 0.3383 0.5784 0.1684
O7 0.3772 0.1272 0.2500
O8 0.6228 0.8728 0.7500
O9 0.6617 0.4216 0.8316
O10 0.6617 0.8301 0.2400
O11 0.6701 0.4201 0.2500
O12 0.9103 0.1603 0.7500
O13 0.9099 0.1699 0.3316
O14 0.9099 0.5784 0.7400

***

# 3
A relaxed structure of YFeSb2O, computed with PBE+U.

Summary:
- Total magnetic moment: 3.99 μB/f.u.
- Calculated volume: 178.4 Å³ per cell
- Crystal system: tetragonal
- Density of states at the Fermi level: 1.410 states/eV/atom

Cell lengths 5.7645, 5.7645, 5.3675 Å; angles 90.00, 90.00, 90.00 degrees
Fractional coordinates of all 5 atoms:
Y1 0.0000 0.0000 0.0000
Fe1 0.0000 0.0000 0.5000
Sb1 0.0000 0.5000 0.0000
Sb2 0.5000 0.0000 0.0000
O1 0.5000 0.5000 0.5000

***

# 4
A relaxed structure of Yb2FeSbO7, computed with PBE+U.

Summary:
- Total magnetic moment: 0.97 μB/f.u.
- Calculated volume: 269.4 Å³ per cell
- Crystal system: orthorhombic
- Density of states at the Fermi level: 1.400 states/eV/atom

Cell lengths 7.2394, 7.2394, 7.2394 Å; angles 119.97, 119.48, 90.47 degrees
Fractional coordinates of all 22 atoms:
Yb1 0.0000 0.0000 0.0000
Yb2 0.5000 0.0000 0.0000
Yb3 0.5000 0.0000 0.5000
Yb4 0.5000 0.5000 0.5000
Fe1 0.0000 0.0000 0.5000
Fe2 0.0000 0.5000 0.0000
Sb1 0.0000 0.5000 0.5000
Sb2 0.5000 0.5000 0.0000
O1 0.0791 0.8291 0.2500
O2 0.0798 0.4202 0.2476
O3 0.0798 0.8322 0.6596
O4 0.3273 0.1678 0.7476
O5 0.3273 0.5798 0.1596
O6 0.3336 0.5836 0.7500
O7 0.3750 0.1250 0.2500
O8 0.6250 0.8750 0.7500
O9 0.6664 0.4164 0.2500
O10 0.6727 0.4202 0.8404
O11 0.6727 0.8322 0.2524
O12 0.9202 0.1678 0.3404
O13 0.9202 0.5798 0.7524
O14 0.9209 0.1709 0.7500

***

The electronic total energy results, record by record, are as follows: -71.037; -84.634; -18.630; -70.209 eV per formula unit.